# Cs2NpAgS4 PBE-GGA optimized geometry
# total magnetic moment = 2.00 μB per formula unit
# total energy = -5.11 eV per atom
# energy relative to the elements, uncorrected = -0.857 eV per atom
# density = 4.1 g cm⁻³
data_Cs2NpAgS4
_symmetry_space_group_name_H-M 'P 1'
_symmetry_Int_Tables_number 1
_cell_length_a 6.427
_cell_length_b 8.052
_cell_length_c 13.150
_cell_angle_alpha 84.40
_cell_angle_beta 75.85
_cell_angle_gamma 66.48
loop_
_symmetry_equiv_pos_as_xyz
'x,y,z'
loop_
_atom_site_label
_atom_site_type_symbol
_atom_site_fract_x
_atom_site_fract_y
_atom_site_fract_z
Cs1 Cs 0.570 0.500 0.859
S1 S 0.560 0.299 0.599
S2 S 0.141 0.299 0.401
Cs2 Cs 0.820 0.000 0.359
S3 S 0.909 0.799 0.901
S4 S 0.190 0.201 0.901
Ag1 Ag 0.250 0.500 0.500
Np1 Np 0.750 0.500 0.500
Ag2 Ag 0.500 0.000 0.000
S5 S 0.609 0.201 0.099
Cs3 Cs 0.930 0.500 0.141
S6 S 0.841 0.701 0.599
S7 S 0.292 0.799 0.099
Cs4 Cs 0.180 0.000 0.641
S8 S 0.458 0.701 0.401
Np2 Np 0.000 0.000 0.000